[1]
Compound: Mg2ZrH2
Source: Alexandria
Functional: PBE
Structure: optimized geometry

Cell lengths 7.8473, 7.8473, 2.7080 Å; angles 90.00, 90.00, 90.00 degrees
Last column: nearest neighbours and their distance in Å.
Space group P4/mbm (No. 127)
One atom of each set of equivalent atoms:
Mg (0.1249, 0.3751, 0.0000) x4  4 H 2.21
Zr (0.0000, 0.0000, 0.0000) x2  2 Zr 2.71
H (0.0966, 0.5966, 0.5000) x4  1 H 2.14, 4 Mg 2.21

Properties
* energy relative to the lowest polymorph listed for this composition: 679 meV/atom
* uncorrected energy: -0.2216 Ry/atom

***

[2]
Compound: Mg2ZrH2
Source: Alexandria
Functional: PBE
Structure: optimized geometry

Cell lengths 3.1396, 3.1396, 14.6746 Å; angles 90.00, 90.00, 90.00 degrees
Last column: nearest neighbours and their distance in Å.
Space group I4/mmm (No. 139)
One atom of each set of equivalent atoms:
Mg (0.0000, 0.0000, 0.1685) x4  4 H 1.97
Zr (0.0000, 0.0000, 0.5000) x2  4 Zr 3.14, 8 Mg 3.32
H (0.0000, 0.5000, 0.2500) x4  4 Mg 1.97

Properties
* energy relative to the lowest polymorph listed for this composition: 48 meV/atom
* uncorrected energy: -0.2680 Ry/atom

***

Q: Among the records above, which one has the highest energy relative to the lowest polymorph listed for this composition?
A: number 1